No. 1
SiHgIr2, relaxed, DFT GGA-PBEsol; energy relative to the elements, uncorrected = 0.2142 eV/atom; energy above the most stable polymorph in this dataset = 463 meV/atom
1.0
4.1302 0.0000 0.0000
0.0000 4.1302 0.0000
0.0000 0.0000 3.5190
Si Hg Ir
1 1 2
Direct
0.0000 0.0000 0.0000
0.5000 0.5000 0.0000
0.0000 0.5000 0.5000
0.5000 0.0000 0.5000

No. 2
Li3CuCl, relaxed, DFT GGA-PBEsol; energy relative to the elements, uncorrected = -0.3581 eV/atom
1.0
4.4970 0.0000 0.0000
0.0000 4.4970 0.0000
0.0000 0.0000 4.4970
Li Cu Cl
3 1 1
Direct
0.0000 0.0000 0.5000
0.0000 0.5000 0.0000
0.5000 0.0000 0.0000
0.5000 0.5000 0.5000
0.0000 0.0000 0.0000

No. 3
ScNbSi2, relaxed, DFT GGA-PBEsol; energy relative to the elements, uncorrected = -0.2680 eV/atom
1.0
-3.4983 3.4983 2.8284
3.4983 -3.4983 2.8284
3.4983 3.4983 -2.8284
Sc Nb Si
2 2 4
Direct
0.0000 0.0000 0.0000
0.7500 0.2500 0.5000
0.2500 0.7500 0.5000
0.5000 0.5000 0.0000
0.1341 0.1250 0.5091
0.3750 0.8659 0.9909
0.6159 0.6250 0.4909
0.8750 0.3841 0.0091

No. 4
TaTlSe, relaxed, DFT GGA-PBEsol; energy relative to the elements, uncorrected = 1.3800 eV/atom
1.0
0.0000 3.3626 3.3626
3.3626 0.0000 3.3626
3.3626 3.3626 0.0000
Ta Tl Se
1 1 1
Direct
0.0000 0.0000 0.0000
0.2500 0.2500 0.2500
0.5000 0.5000 0.5000

No. 5
RbLiTe2N, relaxed, DFT GGA-PBEsol; energy relative to the elements, uncorrected = 0.5018 eV/atom
1.0
5.9190 0.0000 0.0000
0.0000 5.9190 0.0000
0.0000 0.0000 3.6487
Rb Li Te N
1 1 2 1
Direct
0.0000 0.0000 0.0000
0.5000 0.5000 0.5000
0.0000 0.5000 0.5000
0.5000 0.0000 0.5000
0.5000 0.5000 0.0000

No. 6
Nb6BiS8, relaxed, DFT GGA-PBEsol; energy relative to the elements, uncorrected = -1.0504 eV/atom
1.0
9.5371 0.0000 0.0000
-4.7685 8.2593 0.0000
0.0000 0.0000 3.3432
Nb Bi S
6 1 8
Direct
0.1162 0.4873 0.2503
0.3711 0.8838 0.2503
0.4873 0.3711 0.7497
0.5127 0.6289 0.2503
0.6289 0.1162 0.7497
0.8838 0.5127 0.7497
0.0000 0.0000 0.5000
0.0550 0.7156 0.2501
0.2844 0.3395 0.2501
0.3333 0.6667 0.7501
0.3395 0.0550 0.7499
0.6605 0.9450 0.2501
0.6667 0.3333 0.2499
0.7156 0.6605 0.7499
0.9450 0.2844 0.7499

No. 7
CaTa2Tl, relaxed, DFT GGA-PBEsol; formation energy = 2.184 eV per formula unit; energy above the most stable polymorph in this dataset = 0 meV/atom
1.0
3.3219 0.0000 0.0000
0.0000 4.7958 0.0000
0.0000 0.0000 5.2076
Ca Ta Tl
1 2 1
Direct
0.0000 0.0000 0.0000
0.0000 0.5000 0.5000
0.5000 0.0000 0.5000
0.5000 0.5000 0.0000

No. 8
Sr2SCl, relaxed, DFT GGA-PBEsol; energy relative to the elements, uncorrected = -1.6907 eV/atom; energy above the most stable polymorph in this dataset = 21 meV/atom
1.0
-3.3309 3.3309 6.6564
3.3309 -3.3309 6.6564
3.3309 3.3309 -6.6564
Sr S Cl
4 2 2
Direct
0.1079 0.6250 0.9829
0.3750 0.3579 0.4829
0.6421 0.1250 0.0171
0.8750 0.8921 0.5171
0.0000 0.0000 0.0000
0.7500 0.2500 0.5000
0.2500 0.7500 0.5000
0.5000 0.5000 0.0000

No. 9
TaFeAs, relaxed, DFT GGA-PBEsol; formation energy = -1.451 eV per formula unit
1.0
6.2259 0.0000 0.0000
0.0000 3.7118 0.0000
0.0000 0.0000 7.0248
Ta Fe As
4 4 4
Direct
0.0204 0.2500 0.1793
0.4796 0.7500 0.6793
0.5204 0.2500 0.3207
0.9796 0.7500 0.8207
0.1419 0.2500 0.5632
0.3581 0.7500 0.0632
0.6419 0.2500 0.9368
0.8581 0.7500 0.4368
0.2262 0.7500 0.3803
0.2738 0.2500 0.8803
0.7262 0.7500 0.1197
0.7738 0.2500 0.6197

No. 10
KO2F, relaxed, DFT GGA-PBEsol; energy relative to the elements, uncorrected = -0.1090 eV/atom
1.0
3.3047 0.0000 0.0000
0.0000 4.0203 0.0000
0.0000 0.0000 8.9458
K O F
2 4 2
Direct
0.0000 0.0438 0.0000
0.0000 0.9562 0.5000
0.0000 0.4621 0.7371
0.0000 0.5379 0.2371
0.5000 0.2185 0.2635
0.5000 0.7815 0.7635
0.5000 0.4532 0.4718
0.5000 0.5468 0.9718

No. 11
TaCoRe, relaxed, DFT GGA-PBEsol; formation energy = 0.223 eV per formula unit; energy above the most stable polymorph in this dataset = 147 meV/atom
1.0
-1.3408 1.6925 4.7049
1.3408 -1.6925 4.7049
1.3408 1.6925 -4.7049
Ta Co Re
1 1 1
Direct
0.0000 0.0000 0.0000
0.3207 0.3207 0.0000
0.6930 0.6930 0.0000

No. 12
LaFe2Si2, relaxed, DFT GGA-PBEsol; energy relative to the elements, uncorrected = -0.6697 eV/atom
1.0
-2.0046 2.0046 4.8760
2.0046 -2.0046 4.8760
2.0046 2.0046 -4.8760
La Fe Si
1 2 2
Direct
0.0000 0.0000 0.0000
0.2500 0.7500 0.5000
0.7500 0.2500 0.5000
0.3567 0.3567 0.0000
0.6433 0.6433 0.0000